The following is a DFT calculation (PBEsol) of a geometry-optimized MnAsCSe2 structure.

a = 4.6179 Å, b = 4.6179 Å, c = 4.5732 Å
α = 90.00°, β = 90.00°, γ = 90.00°
Last column: nearest neighbours and their distance in Å.
Atoms (fractional coordinates):
Mn: 0.0000 0.0000 0.0000  2 As 2.29, 4 Se 2.31
As: 0.0000 0.0000 0.5000  2 Mn 2.29
C: 0.5000 0.5000 0.5000  8 Se 3.25, 4 As 3.27
Se: 0.0000 0.5000 0.0000  2 Mn 2.31
Se: 0.5000 0.0000 0.0000  2 Mn 2.31

Computed properties:
symmetry	P4/mmm
formation energy (no corrections)	1.595	eV per atom
N(E_F)	5.0	states/eV/cell
VASP energy	-24.23	eV for the cell shown
magnetization	3.52	Bohr magnetons per cell

The following is a DFT calculation (PBEsol) of a geometry-optimized PtSe2F2 structure.

a = 6.1918 Å, b = 6.1918 Å, c = 4.1187 Å
α = 90.00°, β = 90.00°, γ = 90.00°
Last column: nearest neighbours and their distance in Å.
Atoms (fractional coordinates):
Pt: 0.0000 0.0000 0.0000  4 Se 2.42
Pt: 0.5000 0.5000 0.0000  4 Se 2.42
Se: 0.1327 0.3673 0.0000  1 Se 2.32, 2 F 2.35, 2 Pt 2.42
Se: 0.3673 0.8673 0.0000  1 Se 2.32, 2 F 2.35, 2 Pt 2.42
Se: 0.6327 0.1327 0.0000  1 Se 2.32, 2 F 2.35, 2 Pt 2.42
Se: 0.8673 0.6327 0.0000  1 Se 2.32, 2 F 2.35, 2 Pt 2.42
F: 0.2370 0.7370 0.5000  2 Se 2.35
F: 0.2630 0.2370 0.5000  2 Se 2.35
F: 0.7370 0.7630 0.5000  2 Se 2.35
F: 0.7630 0.2630 0.5000  2 Se 2.35

Computed properties:
symmetry	P4/mbm
formation energy (no corrections)	-0.428	eV per atom
energy above the most stable polymorph in this dataset	0.00	eV per formula unit
N(E_F)	7.3	states/eV/cell
VASP energy	-41.31	eV for the cell shown
magnetization	0.00	Bohr magnetons per cell

The following is a DFT calculation (PBEsol) of a geometry-optimized Tl2TcAg structure.

a = 3.0294 Å, b = 3.0294 Å, c = 30.3314 Å
α = 90.00°, β = 90.00°, γ = 120.00°
Last column: nearest neighbours and their distance in Å.
Atoms (fractional coordinates):
Tl: 0.0000 0.0000 0.0000  6 Tl 3.03, 3 Ag 3.12
Tl: 0.0000 0.0000 0.2333  3 Tc 2.92, 6 Tl 3.03
Tl: 0.3333 0.6667 0.6667  6 Tl 3.03, 3 Ag 3.12
Tl: 0.3333 0.6667 0.8999  3 Tc 2.92, 6 Tl 3.03
Tl: 0.6667 0.3333 0.3333  6 Tl 3.03, 3 Ag 3.12
Tl: 0.6667 0.3333 0.5666  3 Tc 2.92, 6 Tl 3.03
Tc: 0.0000 0.0000 0.4897  3 Ag 2.78, 3 Tl 2.92, 6 Tc 3.03
Tc: 0.3333 0.6667 0.1563  3 Ag 2.78, 3 Tl 2.92, 6 Tc 3.03
Tc: 0.6667 0.3333 0.8230  3 Ag 2.78, 3 Tl 2.92, 6 Tc 3.03
Ag: 0.0000 0.0000 0.7519  3 Tc 2.78, 6 Ag 3.03
Ag: 0.3333 0.6667 0.4186  3 Tc 2.78, 6 Ag 3.03
Ag: 0.6667 0.3333 0.0853  3 Tc 2.78, 6 Ag 3.03

Computed properties:
symmetry	R3m
energy above the most stable polymorph in this dataset	0.18	eV per formula unit
N(E_F)	11.7	states/eV/cell
VASP energy	-52.04	eV for the cell shown
magnetization	1.28	Bohr magnetons per cell

The following is a DFT calculation (PBEsol) of a geometry-optimized PRuSI2 structure.

a = 5.4532 Å, b = 5.4532 Å, c = 4.2311 Å
α = 90.00°, β = 90.00°, γ = 90.00°
Last column: nearest neighbours and their distance in Å.
Atoms (fractional coordinates):
P: 0.0000 0.0000 0.0000  2 S 2.12
Ru: 0.5000 0.5000 0.5000  8 I 3.45, 4 S 3.86
S: 0.0000 0.0000 0.5000  2 P 2.12
I: 0.0000 0.5000 0.0000  2 P 2.73
I: 0.5000 0.0000 0.0000  2 P 2.73

Computed properties:
symmetry	P4/mmm
formation energy (no corrections)	1.110	eV per atom
N(E_F)	4.6	states/eV/cell
VASP energy	-18.33	eV for the cell shown
magnetization	3.05	Bohr magnetons per cell

The following is a DFT calculation (PBEsol) of a geometry-optimized ScTeAsBr2 structure.

a = 4.9648 Å, b = 4.9648 Å, c = 5.6603 Å
α = 90.00°, β = 90.00°, γ = 90.00°
Last column: nearest neighbours and their distance in Å.
Atoms (fractional coordinates):
Sc: 0.0000 0.0000 0.0000  4 Br 2.48
Te: 0.5000 0.5000 0.5000  4 As 3.51, 8 Br 3.76
As: 0.0000 0.0000 0.5000  2 Sc 2.83
Br: 0.0000 0.5000 0.0000  2 Sc 2.48
Br: 0.5000 0.0000 0.0000  2 Sc 2.48

Computed properties:
symmetry	P4/mmm
formation energy (no corrections)	-0.439	eV per atom
N(E_F)	3.1	states/eV/cell
VASP energy	-21.17	eV for the cell shown
magnetization	0.61	Bohr magnetons per cell

The following is a DFT calculation (PBEsol) of a geometry-optimized MgInAu2 structure.

a = 9.4469 Å, b = 3.6292 Å, c = 4.5263 Å
α = 90.00°, β = 106.63°, γ = 90.00°
Last column: nearest neighbours and their distance in Å.
Atoms (fractional coordinates):
Mg: 0.0000 0.0000 0.0000  7 Au 2.79-2.94, 3 In 3.02-3.10
Mg: 0.5000 0.5000 0.0000  7 Au 2.79-2.94, 3 In 3.02-3.10
In: 0.2359 0.0000 0.6703  7 Au 2.79-2.91, 3 Mg 3.02-3.10
In: 0.7359 0.5000 0.6703  7 Au 2.79-2.91, 3 Mg 3.02-3.10
Au: 0.2384 0.5000 0.1703  3 Mg 2.79-2.82, 4 In 2.90-2.91, 3 Au 3.02-3.05
Au: 0.4925 0.0000 0.4833  3 In 2.79-2.86, 4 Mg 2.86-2.94, 3 Au 3.02-3.05
Au: 0.7384 0.0000 0.1703  3 Mg 2.79-2.82, 4 In 2.90-2.91, 3 Au 3.02-3.05
Au: 0.9925 0.5000 0.4833  3 In 2.79-2.86, 4 Mg 2.86-2.94, 3 Au 3.02-3.05

Computed properties:
symmetry	Cm
N(E_F)	2.1	states/eV/cell
VASP energy	-28.00	eV for the cell shown
magnetization	0.00	Bohr magnetons per cell

The following is a DFT calculation (PBEsol) of a geometry-optimized LiGa2Co structure.

a = 5.7878 Å, b = 5.7878 Å, c = 5.7878 Å
α = 90.00°, β = 90.00°, γ = 90.00°
Last column: nearest neighbours and their distance in Å.
Atoms (fractional coordinates):
Li: 0.0000 0.0000 0.0000  8 Ga 2.51
Li: 0.0000 0.5000 0.5000  8 Ga 2.51
Li: 0.5000 0.0000 0.5000  8 Ga 2.51
Li: 0.5000 0.5000 0.0000  8 Ga 2.51
Ga: 0.2500 0.2500 0.2500  4 Li 2.51, 4 Co 2.51
Ga: 0.2500 0.2500 0.7500  4 Co 2.51, 4 Li 2.51
Ga: 0.2500 0.7500 0.2500  4 Co 2.51, 4 Li 2.51
Ga: 0.2500 0.7500 0.7500  4 Li 2.51, 4 Co 2.51
Ga: 0.7500 0.2500 0.2500  4 Co 2.51, 4 Li 2.51
Ga: 0.7500 0.2500 0.7500  4 Li 2.51, 4 Co 2.51
Ga: 0.7500 0.7500 0.2500  4 Li 2.51, 4 Co 2.51
Ga: 0.7500 0.7500 0.7500  4 Co 2.51, 4 Li 2.51
Co: 0.0000 0.0000 0.5000  8 Ga 2.51
Co: 0.0000 0.5000 0.0000  8 Ga 2.51
Co: 0.5000 0.0000 0.0000  8 Ga 2.51
Co: 0.5000 0.5000 0.5000  8 Ga 2.51

Computed properties:
symmetry	Fm-3m
N(E_F)	8.8	states/eV/cell
VASP energy	-70.94	eV for the cell shown
magnetization	0.00	Bohr magnetons per cell

The following is a DFT calculation (PBEsol) of a geometry-optimized Ca2AgAs structure.

a = 4.3541 Å, b = 4.0948 Å, c = 10.9626 Å
α = 90.00°, β = 90.00°, γ = 90.00°
Last column: nearest neighbours and their distance in Å.
Atoms (fractional coordinates):
Ca: 0.0000 0.0000 0.0000  3 As 3.06-3.17, 4 Ag 3.08
Ca: 0.0000 0.5000 0.5000  3 As 3.06-3.17, 4 Ag 3.08
Ca: 0.5000 0.0000 0.2795  4 As 3.06, 3 Ag 3.10-3.15
Ca: 0.5000 0.5000 0.7795  4 As 3.06, 3 Ag 3.10-3.15
Ag: 0.5000 0.0000 0.5670  2 As 2.76, 4 Ca 3.08
Ag: 0.5000 0.5000 0.0670  2 As 2.76, 4 Ca 3.08
As: 0.0000 0.0000 0.7212  2 Ag 2.76, 5 Ca 3.06
As: 0.0000 0.5000 0.2212  2 Ag 2.76, 5 Ca 3.06

Computed properties:
symmetry	Amm2
N(E_F)	2.3	states/eV/cell
VASP energy	-31.31	eV for the cell shown
magnetization	0.00	Bohr magnetons per cell

The following is a DFT calculation (PBEsol) of a geometry-optimized Nd3NbSb5 structure.

a = 9.3436 Å, b = 9.3436 Å, c = 6.1329 Å
α = 90.00°, β = 90.00°, γ = 120.00°
Last column: nearest neighbours and their distance in Å.
Atoms (fractional coordinates):
Nd: 0.0000 0.3804 0.2500  9 Sb 3.15-3.34
Nd: 0.0000 0.6196 0.7500  9 Sb 3.15-3.34
Nd: 0.3804 0.0000 0.2500  9 Sb 3.15-3.34
Nd: 0.3804 0.3804 0.7500  9 Sb 3.15-3.34
Nd: 0.6196 0.0000 0.7500  9 Sb 3.15-3.34
Nd: 0.6196 0.6196 0.2500  9 Sb 3.15-3.34
Nb: 0.0000 0.0000 0.0000  6 Sb 2.89, 2 Nb 3.07
Nb: 0.0000 0.0000 0.5000  6 Sb 2.89, 2 Nb 3.07
Sb: 0.0000 0.2619 0.7500  2 Nb 2.89, 2 Nd 3.15
Sb: 0.0000 0.7381 0.2500  2 Nb 2.89, 2 Nd 3.15
Sb: 0.2619 0.0000 0.7500  2 Nb 2.89, 2 Nd 3.15
Sb: 0.2619 0.2619 0.2500  2 Nb 2.89, 2 Nd 3.15
Sb: 0.3333 0.6667 0.0000  2 Sb 3.07, 6 Nd 3.30
Sb: 0.3333 0.6667 0.5000  2 Sb 3.07, 6 Nd 3.30
Sb: 0.6667 0.3333 0.0000  2 Sb 3.07, 6 Nd 3.30
Sb: 0.6667 0.3333 0.5000  2 Sb 3.07, 6 Nd 3.30
Sb: 0.7381 0.0000 0.2500  2 Nb 2.89, 2 Nd 3.15
Sb: 0.7381 0.7381 0.7500  2 Nb 2.89, 2 Nd 3.15

Computed properties:
symmetry	P6_3/mcm
formation energy (no corrections)	-0.869	eV per atom
N(E_F)	9.0	states/eV/cell
VASP energy	-113.85	eV for the cell shown
magnetization	0.00	Bohr magnetons per cell

The following is a DFT calculation (PBEsol) of a geometry-optimized CrReW2 structure.

a = 5.3153 Å, b = 8.6293 Å, c = 2.6794 Å
α = 90.00°, β = 109.73°, γ = 90.00°
Last column: nearest neighbours and their distance in Å.
Atoms (fractional coordinates):
Cr: 0.0000 0.0000 0.0000  4 W 2.65, 2 Re 2.66, 2 Cr 2.68
Cr: 0.5000 0.5000 0.0000  4 W 2.65, 2 Re 2.66, 2 Cr 2.68
Re: 0.0000 0.5000 0.0000  4 W 2.65, 2 Cr 2.66, 2 Re 2.68
Re: 0.5000 0.0000 0.0000  4 W 2.65, 2 Cr 2.66, 2 Re 2.68
W: 0.2500 0.2500 0.5000  2 Cr 2.65, 2 Re 2.65, 4 W 2.66-2.68
W: 0.2500 0.7500 0.5000  2 Cr 2.65, 2 Re 2.65, 4 W 2.66-2.68
W: 0.7500 0.2500 0.5000  2 Cr 2.65, 2 Re 2.65, 4 W 2.66-2.68
W: 0.7500 0.7500 0.5000  2 Cr 2.65, 2 Re 2.65, 4 W 2.66-2.68

Computed properties:
symmetry	C2/m
energy above the most stable polymorph in this dataset	0.25	eV per formula unit
N(E_F)	6.6	states/eV/cell
VASP energy	-101.54	eV for the cell shown
magnetization	0.00	Bohr magnetons per cell

The following is a DFT calculation (PBEsol) of a geometry-optimized SrCr2Rh structure.

a = 2.8677 Å, b = 4.0635 Å, c = 6.3040 Å
α = 90.00°, β = 90.00°, γ = 90.00°
Last column: nearest neighbours and their distance in Å.
Atoms (fractional coordinates):
Sr: 0.0000 0.0000 0.0000  2 Sr 2.87, 2 Rh 3.15
Cr: 0.5000 0.5000 0.3540  1 Cr 1.84
Cr: 0.5000 0.5000 0.6460  1 Cr 1.84
Rh: 0.0000 0.0000 0.5000  8 Cr 2.65, 2 Rh 2.87

Computed properties:
symmetry	Pmmm
N(E_F)	4.9	states/eV/cell
VASP energy	-27.94	eV for the cell shown
magnetization	0.00	Bohr magnetons per cell

The following is a DFT calculation (PBEsol) of a geometry-optimized MnNi2P structure.

a = 3.4809 Å, b = 3.4809 Å, c = 7.1491 Å
α = 90.00°, β = 90.00°, γ = 90.00°
Last column: nearest neighbours and their distance in Å.
Atoms (fractional coordinates):
Mn: 0.0000 0.0000 0.0000  4 P 2.46, 8 Ni 2.49
Mn: 0.5000 0.5000 0.5000  4 P 2.46, 8 Ni 2.49
Ni: 0.0000 0.5000 0.2500  4 Ni 2.46, 4 Mn 2.49, 4 P 2.49
Ni: 0.0000 0.5000 0.7500  4 Ni 2.46, 4 Mn 2.49, 4 P 2.49
Ni: 0.5000 0.0000 0.2500  4 Ni 2.46, 4 Mn 2.49, 4 P 2.49
Ni: 0.5000 0.0000 0.7500  4 Ni 2.46, 4 Mn 2.49, 4 P 2.49
P: 0.0000 0.0000 0.5000  4 Mn 2.46, 8 Ni 2.49
P: 0.5000 0.5000 0.0000  4 Mn 2.46, 8 Ni 2.49

Computed properties:
symmetry	I4/mmm
N(E_F)	5.7	states/eV/cell
VASP energy	-57.66	eV for the cell shown
magnetization	7.72	Bohr magnetons per cell

VASP energy of number 6 (MgInAu2)? -28.00 eV for the cell shown